Record 1
A plane-wave DFT calculation with PBE was carried out for a relaxed structure of Rb2PdAuBr6.

It has space group C2/m (No. 12), with a = 13.081 Å, b = 7.558 Å, c = 7.554 Å, α = 90.00°, β = 125.23° and γ = 90.00°. The distinct sites, in fractional coordinates, are Rb at (0.250, 0.000, 0.250), Pd at (0.000, 0.000, 0.500), Au at (0.000, 0.500, 0.000), Br at (0.001, 0.244, 0.256) and Br at (0.245, 0.000, 0.745).

Its calculated total energy is -57.83 eV for the cell shown.

Record 2
A plane-wave DFT calculation with PBE was carried out for a relaxed structure of ErAgS2.

It has space group Pnma (No. 62), with a = 13.389 Å, b = 4.040 Å, c = 6.633 Å, α = 90.00°, β = 90.00° and γ = 90.00°. The distinct sites, in fractional coordinates, are Er at (0.136, 0.250, 0.006), Ag at (0.072, 0.750, 0.587), S at (0.038, 0.750, 0.211) and S at (0.224, 0.750, 0.805).

The total moment comes out at 0.00 μB per formula unit. Its calculated total energy is -83.90 eV for the cell shown.

Record 3
A plane-wave DFT calculation with PBE was carried out for a relaxed structure of KAg3PdS4.

It has space group P-43m (No. 215), with a = 6.202 Å, b = 6.202 Å, c = 6.202 Å, α = 90.00°, β = 90.00° and γ = 90.00°. The distinct sites, in fractional coordinates, are K at (0.000, 0.000, 0.000), Ag at (0.000, 0.500, 0.500), Pd at (0.500, 0.500, 0.500) and S at (0.280, 0.280, 0.280).

Its calculated total energy is -32.28 eV for the cell shown.

Record 4
A plane-wave DFT calculation with PBE was carried out for a relaxed structure of HoAlGe.

It has space group F-43m (No. 216), with a = 6.738 Å, b = 6.738 Å, c = 6.738 Å, α = 90.00°, β = 90.00° and γ = 90.00°. The distinct sites, in fractional coordinates, are Ho at (0.000, 0.000, 0.000), Al at (0.250, 0.250, 0.750) and Ge at (0.250, 0.250, 0.250).

The total moment comes out at 0.00 μB per formula unit. Its calculated total energy is -51.80 eV for the cell shown.

Question: What is the calculated total energy in the first record?
Answer: -57.83 eV for the cell shown

Question: Which value of calculated total energy does entry 1 give?
Answer: -57.83 eV for the cell shown

Question: Which value of calculated total energy does entry 2 give?
Answer: -83.90 eV for the cell shown

Question: Which formula does entry 4 have?
Answer: HoAlGe